1.
A relaxed structure of MnH2SeO5. Source: the Alexandria database, functional PBEsol.

Geometry as POSCAR:
```
MnH2SeO5
1.0
-1.055 0.199 -5.316
0.526 -5.354 0.687
-6.630 2.044 3.637
Mn H Se O
2 4 2 10
Direct
0.500 0.000 0.000
0.000 0.500 0.500
0.132 0.046 0.707
0.954 0.868 0.793
0.868 0.954 0.293
0.046 0.132 0.207
0.582 0.418 0.750
0.418 0.582 0.250
0.114 0.886 0.750
0.886 0.114 0.250
0.705 0.319 0.578
0.681 0.295 0.922
0.295 0.681 0.422
0.319 0.705 0.078
0.682 0.756 0.841
0.244 0.318 0.659
0.318 0.244 0.159
0.756 0.682 0.341
```

Raw total energy (eV for the cell shown): -110.18
Space group: No. 15

2.
A relaxed structure of CdAgSb2. Source: the Alexandria database, functional PBEsol.

Geometry as POSCAR:
```
CdAgSb2
1.0
-2.813 -3.096 0.338
-0.329 -0.254 -5.062
4.775 -1.243 2.300
Sb Ag Cd
2 1 1
Direct
0.757 0.757 0.515
0.243 0.243 0.485
0.500 0.000 0.000
0.000 0.500 0.000
```

Raw total energy (eV for the cell shown): -12.96
Space group: No. 71
Formation energy without anion corrections (eV per atom): 0.1662

3.
A relaxed structure of ReSiOs2. Source: the Alexandria database, functional PBEsol.

Geometry as POSCAR:
```
ReSiOs2
1.0
-2.701 0.344 0.784
-0.441 -2.783 -0.299
1.728 -0.958 6.377
Re Si Os
1 1 2
Direct
0.500 0.500 0.000
0.500 0.500 0.500
0.000 0.000 0.723
0.000 0.000 0.277
```

Raw total energy (eV for the cell shown): -44.31
Space group: No. 123
Formation energy without anion corrections (eV per atom): -0.1992

4.
A relaxed structure of TlSnAs2Br. Source: the Alexandria database, functional PBEsol.

Geometry as POSCAR:
```
TlSnAs2Br
1.0
-0.768 4.361 -2.778
-5.139 -0.955 -0.080
-0.601 2.847 4.636
As Tl Sn Br
2 1 1 1
Direct
0.000 0.500 0.000
0.500 0.000 0.000
0.000 0.000 0.000
0.500 0.500 0.500
0.000 0.000 0.500
```

Raw total energy (eV for the cell shown): -15.63
Space group: No. 123
Formation energy without anion corrections (eV per atom): 0.6693

5.
A relaxed structure of Ba3Zr2S7. Source: the Alexandria database, functional PBEsol.

Geometry as POSCAR:
```
Ba3Zr2S7
1.0
7.055 0.000 0.000
0.000 7.055 0.000
0.000 0.000 25.160
Ba Zr S
12 8 28
Direct
0.255 0.745 0.500
0.755 0.755 0.000
0.245 0.245 0.000
0.745 0.255 0.500
0.764 0.236 0.681
0.236 0.764 0.681
0.236 0.764 0.319
0.736 0.736 0.181
0.264 0.264 0.181
0.736 0.736 0.819
0.264 0.264 0.819
0.764 0.236 0.319
0.749 0.749 0.600
0.251 0.251 0.600
0.749 0.749 0.400
0.249 0.751 0.100
0.751 0.249 0.100
0.751 0.249 0.900
0.249 0.751 0.900
0.251 0.251 0.400
0.000 0.500 0.405
0.000 0.500 0.905
0.500 0.000 0.095
0.500 0.000 0.595
0.000 0.500 0.595
0.000 0.500 0.095
0.500 0.000 0.905
0.500 0.000 0.405
0.500 0.500 0.611
0.000 0.000 0.111
0.000 0.000 0.889
0.500 0.500 0.389
0.784 0.784 0.698
0.216 0.216 0.698
0.784 0.784 0.302
0.284 0.716 0.198
0.716 0.284 0.198
0.716 0.284 0.802
0.284 0.716 0.802
0.216 0.216 0.302
0.000 0.000 0.418
0.500 0.500 0.918
0.500 0.500 0.082
0.000 0.000 0.582
0.292 0.292 0.500
0.208 0.792 0.000
0.792 0.208 0.000
0.708 0.708 0.500
```

Raw total energy (eV for the cell shown): -313.05
Space group: No. 136
Formation energy without anion corrections (eV per atom): -1.9122

6.
A relaxed structure of CuMoW. Source: the Alexandria database, functional PBEsol.

Geometry as POSCAR:
```
CuMoW
1.0
2.540 0.000 0.000
0.000 4.140 0.000
-1.270 -2.070 4.101
Cu Mo W
1 1 1
Direct
0.000 0.000 0.001
0.336 0.336 0.673
0.663 0.663 0.326
```

Raw total energy (eV for the cell shown): -28.98
Space group: No. 44

7.
A relaxed structure of CaSbOs2Se. Source: the Alexandria database, functional PBEsol.

Geometry as POSCAR:
```
CaSbOs2Se
1.0
-2.578 2.162 -3.326
-0.238 -4.044 -2.445
-4.486 -1.319 2.620
Sb Ca Os Se
1 1 2 1
Direct
0.000 0.000 0.500
0.000 0.000 0.000
0.000 0.500 0.000
0.500 0.000 0.000
0.500 0.500 0.500
```

Raw total energy (eV for the cell shown): -21.70
Space group: No. 123
Formation energy without anion corrections (eV per atom): 2.6544

8.
A relaxed structure of LaTcO2F. Source: the Alexandria database, functional PBEsol.

Geometry as POSCAR:
```
LaTcO2F
1.0
4.004 0.000 0.000
0.000 4.004 0.000
0.000 0.000 3.990
F Tc O La
1 1 2 1
Direct
0.000 0.000 0.500
0.000 0.000 0.000
0.000 0.500 0.000
0.500 0.000 0.000
0.500 0.500 0.500
```

Raw total energy (eV for the cell shown): -38.75
Space group: No. 123
Formation energy without anion corrections (eV per atom): -1.9427

9.
A relaxed structure of Sb2OsPt. Source: the Alexandria database, functional PBEsol.

Geometry as POSCAR:
```
Sb2OsPt
1.0
-0.546 -1.361 2.615
1.489 -1.505 -2.123
8.732 3.499 3.642
Os Pt Sb
1 1 2
Direct
0.000 0.000 0.486
0.500 0.500 0.267
0.000 0.000 0.044
0.500 0.500 0.703
```

Raw total energy (eV for the cell shown): -26.17
Space group: No. 35
Formation energy without anion corrections (eV per atom): 0.5305

10.
A relaxed structure of KCaAs2. Source: the Alexandria database, functional PBEsol.

Geometry as POSCAR:
```
KCaAs2
1.0
-2.615 -2.051 -0.149
3.312 -4.267 0.614
-1.550 1.616 4.954
As Ca K
2 1 1
Direct
0.000 0.000 0.500
0.000 0.500 0.000
0.500 0.500 0.500
0.500 0.000 0.000
```

Raw total energy (eV for the cell shown): -15.37
Space group: No. 65

11.
A relaxed structure of PtRh2Au. Source: the Alexandria database, functional PBEsol.

Geometry as POSCAR:
```
PtRh2Au
1.0
-1.741 1.349 1.652
-2.595 -3.102 -2.495
1.326 -2.762 3.654
Au Pt Rh
1 1 2
Direct
0.502 0.003 0.501
0.745 0.491 0.242
0.997 0.994 0.995
0.256 0.512 0.761
```

Raw total energy (eV for the cell shown): -26.75
Space group: No. 8

12.
A relaxed structure of TaInBr. Source: the Alexandria database, functional PBEsol.

Geometry as POSCAR:
```
TaInBr
1.0
3.104 0.000 0.000
0.000 3.104 0.000
-1.552 -1.552 6.522
In Br Ta
1 1 1
Direct
0.688 0.688 0.376
0.968 0.968 0.937
0.344 0.344 0.687
```

Raw total energy (eV for the cell shown): -16.87
Space group: No. 107
Formation energy without anion corrections (eV per atom): 0.1787

13.
A relaxed structure of CaPOs2. Source: the Alexandria database, functional PBEsol.

Geometry as POSCAR:
```
CaPOs2
1.0
-3.283 0.543 1.864
-1.864 -1.906 -2.727
0.608 -3.646 2.133
Ca Os P
1 2 1
Direct
0.000 0.000 0.500
0.000 0.500 0.000
0.500 0.000 0.000
0.500 0.500 0.500
```

Raw total energy (eV for the cell shown): -30.23
Space group: No. 123